The following is a DFT calculation (PBE) of a relaxed Li2ScAsO crystal.

POSCAR file:
```
Li2ScAsO
1.0
3.973 0.000 0.000
0.000 3.973 0.000
0.000 0.000 4.271
Sc Li O As
1 2 1 1
Direct
0.000 0.000 0.500
0.000 0.500 0.000
0.500 0.000 0.000
0.000 0.000 0.000
0.500 0.500 0.500
```

Volume in Å³ per cell: 67.4
DOS(E_F) in states/eV/cell: 0.596
Uncorrected formation energy in kJ per mole of atoms: -167.5
Excess energy over the best structure of this formula in the dataset in eV/atom: 0.0000